{"formula": "MoSe2O8", "functional": "GGA+U", "state": "optimized geometry", "m_tot_mub_per_atom": 0.18, "final_energy_ev_per_cell": -62.02, "cell": [[5.503, -2.221, -4.385], [-2.994, 6.614, 1.317], [-2.100, 2.769, 7.953]], "species": ["O", "O", "O", "O", "Mo", "O", "O", "O", "O", "Se", "Se"], "fractional_positions": [[0.395, 0.266, 0.661], [0.111, 0.704, 0.244], [0.889, 0.296, 0.756], [0.605, 0.734, 0.339], [0.000, 0.000, 0.000], [0.460, 0.867, 0.756], [0.540, 0.133, 0.244], [0.855, 0.880, 0.734], [0.145, 0.120, 0.266], [0.461, 0.147, 0.608], [0.539, 0.853, 0.392]]}